Entry 1:
A plane-wave DFT calculation with PBE-GGA was carried out for a relaxed structure of ThMoS4.

a b c (Å): 6.460 6.503 6.489
angles (deg): 90.00 99.06 90.00
Positions (direct):
Th1 0.000 0.000 0.000
Th2 0.500 0.500 0.000
Mo1 0.500 0.000 0.500
Mo2 0.000 0.500 0.500
S1 0.890 0.652 0.174
S2 0.610 0.152 0.826
S3 0.271 0.299 0.340
S4 0.229 0.799 0.660
S5 0.110 0.348 0.826
S6 0.390 0.848 0.174
S7 0.729 0.701 0.660
S8 0.771 0.201 0.340

Properties
The density of states at the Fermi level is 2.93 states/eV/f.u. As for the formation energy (no corrections): -0.967 eV per atom. The symmetry is P2_1/c. The crystal system is monoclinic.

---

Entry 2:
A plane-wave DFT calculation with PBE-GGA was carried out for a relaxed structure of YRe.

a b c (Å): 10.468 10.468 4.045
angles (deg): 90.00 90.00 90.00
Positions (direct):
Y1 0.500 0.799 0.000
Y2 0.500 0.201 0.000
Y3 0.201 0.500 0.000
Y4 0.799 0.500 0.000
Y5 0.000 0.299 0.500
Y6 0.000 0.701 0.500
Y7 0.701 0.000 0.500
Y8 0.299 0.000 0.500
Re1 0.206 0.206 0.000
Re2 0.794 0.794 0.000
Re3 0.794 0.206 0.000
Re4 0.206 0.794 0.000
Re5 0.706 0.706 0.500
Re6 0.294 0.294 0.500
Re7 0.294 0.706 0.500
Re8 0.706 0.294 0.500

Properties
The density of states at the Fermi level is 1.52 states/eV/f.u. The symmetry is I4/mmm. The value obtained for the formation energy from the elements is 433 meV/atom. The crystal system is tetragonal.

---

Entry 3:
A plane-wave DFT calculation with PBE-GGA was carried out for a relaxed structure of Sn3SbN.

a b c (Å): 4.907 4.907 4.907
angles (deg): 90.00 90.00 90.00
Positions (direct):
Sb1 0.500 0.500 0.500
Sn1 0.000 0.500 0.000
Sn2 0.000 0.000 0.500
Sn3 0.500 0.000 0.000
N1 0.000 0.000 0.000

Properties
As for the energy above the lowest structure with this stoichiometry: 0 meV/atom. The density of states at the Fermi level is 1.81 states/eV/f.u. As for the formation energy (no corrections): 0.402 eV per atom. The symmetry is Pm-3m. The crystal system is cubic.